No. 1
DFT (PBE-GGA) results for an optimized crystal structure of Cs2Hg2PdI4.

Results
VASP energy (eV/cell): -20.637
Symmetry: No. 139
Spin magnetization (μB/cell): 0.0

Cell lengths 7.941, 7.941, 7.941 Å; angles 100.05, 114.38, 114.38 degrees
Sites, in units of the cell vectors:
I  0.000  0.221  0.779
I  0.000  0.779  0.221
I  0.559  0.779  0.779
I  0.441  0.221  0.221
Hg  0.000  0.314  0.314
Hg  0.000  0.686  0.686
Pd  0.000  0.000  0.000
Cs  0.500  0.250  0.750
Cs  0.500  0.750  0.250

---

No. 2
DFT (PBE-GGA) results for an optimized crystal structure of CsHgPdI2.

Results
VASP energy (eV/cell): -12.769
Symmetry: No. 123
Spin magnetization (μB/cell): 0.0

Cell lengths 5.763, 5.763, 5.457 Å; angles 90.00, 90.00, 90.00 degrees
Sites, in units of the cell vectors:
I  0.000  0.500  0.000
I  0.500  0.000  0.000
Hg  0.000  0.000  0.500
Cs  0.500  0.500  0.500
Pd  0.000  0.000  0.000

---

No. 3
DFT (PBE-GGA) results for an optimized crystal structure of CsPmHgI6.

Results
VASP energy (eV/cell): -24.699
Symmetry: No. 5
Spin magnetization (μB/cell): 0.0

Cell lengths 8.367, 8.366, 8.406 Å; angles 93.61, 86.38, 55.98 degrees
Sites, in units of the cell vectors:
I  0.573  0.009  0.297
I  0.435  0.968  0.784
I  0.666  0.340  0.681
I  0.009  0.573  0.703
I  0.968  0.435  0.216
I  0.340  0.666  0.319
Cs  0.993  0.993  0.000
Hg  0.358  0.358  0.500
Pm  0.658  0.658  0.500

---

No. 4
DFT (PBE-GGA) results for an optimized crystal structure of Cs2PmHgI6.

Results
VASP energy (eV/cell): -27.808
Symmetry: No. 139
Spin magnetization (μB/cell): 0.0

Cell lengths 8.963, 8.962, 8.944 Å; angles 59.90, 59.89, 89.98 degrees
Sites, in units of the cell vectors:
Cs  0.750  0.250  0.500
Cs  0.250  0.750  0.500
I  0.244  0.244  0.000
I  0.755  0.755  0.491
I  0.244  0.756  0.000
I  0.245  0.245  0.509
I  0.756  0.756  0.000
I  0.756  0.244  0.000
Hg  0.500  0.500  0.000
Pm  0.000  0.000  0.000

---

No. 5
DFT (PBE-GGA) results for an optimized crystal structure of Cs2PrHgI6.

Results
VASP energy (eV/cell): -27.828
Symmetry: No. 12
Spin magnetization (μB/cell): 0.0

Cell lengths 9.016, 9.015, 8.997 Å; angles 59.88, 59.88, 89.97 degrees
Sites, in units of the cell vectors:
Pr  0.000  0.000  0.000
Cs  0.250  0.750  0.500
Cs  0.750  0.250  0.500
Hg  0.500  0.500  0.000
I  0.245  0.246  0.000
I  0.753  0.753  0.494
I  0.755  0.754  0.000
I  0.754  0.245  0.000
I  0.246  0.755  0.000
I  0.247  0.247  0.506

---

No. 6
DFT (PBE-GGA) results for an optimized crystal structure of CsHgPtI2.

Results
VASP energy (eV/cell): -13.131
Symmetry: No. 123
Spin magnetization (μB/cell): 0.0

Cell lengths 5.763, 5.763, 5.392 Å; angles 90.00, 90.00, 90.00 degrees
Sites, in units of the cell vectors:
I  0.500  0.000  0.000
I  0.000  0.500  0.000
Hg  0.000  0.000  0.500
Cs  0.500  0.500  0.500
Pt  0.000  0.000  0.000

---

No. 7
DFT (PBE-GGA) results for an optimized crystal structure of Cs2PuHg2I4.

Results
VASP energy (eV/cell): -31.715
Symmetry: No. 139
Spin magnetization (μB/cell): 6.0

Cell lengths 8.162, 8.162, 8.162 Å; angles 107.70, 110.36, 110.36 degrees
Last column: magnetic moment on the atom in μB.
Sites, in units of the cell vectors:
Pu  0.000  0.000  0.000  5.63
I  0.000  0.238  0.762  -0.02
I  0.475  0.238  0.238  -0.02
I  0.525  0.762  0.762  -0.02
I  0.000  0.762  0.238  -0.02
Cs  0.500  0.750  0.250  0.00
Cs  0.500  0.250  0.750  0.00
Hg  0.000  0.663  0.663  0.02
Hg  0.000  0.337  0.337  0.02

---

No. 8
DFT (PBE-GGA) results for an optimized crystal structure of Cs4Pu3HgI12.

Results
VASP energy (eV/cell): -88.894
Symmetry: No. 229
Spin magnetization (μB/cell): 16.0

Cell lengths 11.072, 11.072, 11.072 Å; angles 109.47, 109.47, 109.47 degrees
Last column: magnetic moment on the atom in μB.
Sites, in units of the cell vectors:
I  0.500  0.750  0.250  -0.03
I  0.263  0.000  0.263  -0.04
I  0.000  0.263  0.263  -0.04
I  0.250  0.750  0.500  -0.03
I  0.750  0.250  0.500  -0.03
I  0.500  0.250  0.750  -0.03
I  0.263  0.263  0.000  -0.04
I  0.737  0.000  0.737  -0.04
I  0.737  0.737  0.000  -0.04
I  0.250  0.500  0.750  -0.03
I  0.750  0.500  0.250  -0.03
I  0.000  0.737  0.737  -0.04
Cs  0.000  0.500  0.000  0.00
Cs  0.500  0.000  0.000  0.00
Cs  0.000  0.000  0.500  0.00
Cs  0.500  0.500  0.500  0.00
Hg  0.000  0.000  0.000  -0.09
Pu  0.500  0.500  0.000  5.41
Pu  0.500  0.000  0.500  5.41
Pu  0.000  0.500  0.500  5.41

---

Please write out number 8 again, unchanged.
DFT (PBE-GGA) results for an optimized crystal structure of Cs4Pu3HgI12.

Results
VASP energy (eV/cell): -88.894
Symmetry: No. 229
Spin magnetization (μB/cell): 16.0

Cell lengths 11.072, 11.072, 11.072 Å; angles 109.47, 109.47, 109.47 degrees
Last column: magnetic moment on the atom in μB.
Sites, in units of the cell vectors:
I  0.500  0.750  0.250  -0.03
I  0.263  0.000  0.263  -0.04
I  0.000  0.263  0.263  -0.04
I  0.250  0.750  0.500  -0.03
I  0.750  0.250  0.500  -0.03
I  0.500  0.250  0.750  -0.03
I  0.263  0.263  0.000  -0.04
I  0.737  0.000  0.737  -0.04
I  0.737  0.737  0.000  -0.04
I  0.250  0.500  0.750  -0.03
I  0.750  0.500  0.250  -0.03
I  0.000  0.737  0.737  -0.04
Cs  0.000  0.500  0.000  0.00
Cs  0.500  0.000  0.000  0.00
Cs  0.000  0.000  0.500  0.00
Cs  0.500  0.500  0.500  0.00
Hg  0.000  0.000  0.000  -0.09
Pu  0.500  0.500  0.000  5.41
Pu  0.500  0.000  0.500  5.41
Pu  0.000  0.500  0.500  5.41

---

Which value of VASP energy does entry 2 give? -12.769 eV/cell

---

Please write out number 8 again, unchanged.
DFT (PBE-GGA) results for an optimized crystal structure of Cs4Pu3HgI12.

Results
VASP energy (eV/cell): -88.894
Symmetry: No. 229
Spin magnetization (μB/cell): 16.0

Cell lengths 11.072, 11.072, 11.072 Å; angles 109.47, 109.47, 109.47 degrees
Last column: magnetic moment on the atom in μB.
Sites, in units of the cell vectors:
I  0.500  0.750  0.250  -0.03
I  0.263  0.000  0.263  -0.04
I  0.000  0.263  0.263  -0.04
I  0.250  0.750  0.500  -0.03
I  0.750  0.250  0.500  -0.03
I  0.500  0.250  0.750  -0.03
I  0.263  0.263  0.000  -0.04
I  0.737  0.000  0.737  -0.04
I  0.737  0.737  0.000  -0.04
I  0.250  0.500  0.750  -0.03
I  0.750  0.500  0.250  -0.03
I  0.000  0.737  0.737  -0.04
Cs  0.000  0.500  0.000  0.00
Cs  0.500  0.000  0.000  0.00
Cs  0.000  0.000  0.500  0.00
Cs  0.500  0.500  0.500  0.00
Hg  0.000  0.000  0.000  -0.09
Pu  0.500  0.500  0.000  5.41
Pu  0.500  0.000  0.500  5.41
Pu  0.000  0.500  0.500  5.41

---

Which of these has the highest spin magnetization? Cs4Pu3HgI12